An optimized crystal structure of TcSe3O9, computed with GGA-PBE.

```
data_TcSe3O9
_chemical_formula_sum 'Tc4 Se12 O36'
_space_group_name_H-M_alt 'C 1 c 1'
_space_group_IT_number 9
_cell_length_a 13.994
_cell_length_b 6.567
_cell_length_c 12.457
_cell_angle_alpha 90.00
_cell_angle_beta 121.38
_cell_angle_gamma 90.00
loop_
_space_group_symop_operation_xyz
'x,y,z'
'x,-y,z+1/2'
'x+1/2,y+1/2,z'
'x+1/2,-y+1/2,z+1/2'
loop_
_atom_site_label
_atom_site_type_symbol
_atom_site_fract_x
_atom_site_fract_y
_atom_site_fract_z
Tc1 Tc 0.000 0.020 0.000
Se1 Se 0.019 0.211 0.742
Se2 Se 0.239 0.259 0.378
Se3 Se 0.390 0.150 0.695
O1 O 0.036 0.232 0.508
O2 O 0.044 0.055 0.864
O3 O 0.095 0.199 0.097
O4 O 0.168 0.438 0.398
O5 O 0.291 0.186 0.724
O6 O 0.322 0.107 0.525
O7 O 0.352 0.387 0.377
O8 O 0.405 0.141 0.223
O9 O 0.444 0.466 0.119
```

Properties
ΔE_f (raw) ... -806 meV/atom
Uncorrected energy ... -5.84 eV per atom
Size of the total moment ... 1.001 μB per formula unit